Tb2MgRe (PBE, optimized geometry); symmetry = P4/mmm
1.0
3.469 0.000 0.000
0.000 3.469 0.000
0.000 0.000 8.225
Tb Mg Re
2 1 1
Direct
0.000 0.000 0.202 Tb
0.000 0.000 0.798 Tb
0.500 0.500 0.500 Mg
0.500 0.500 0.000 Re

TbMgZrRe (PBE, optimized geometry); symmetry = F-43m
1.0
0.000 3.469 3.469
3.469 0.000 3.469
3.469 3.469 0.000
Tb Mg Zr Re
1 1 1 1
Direct
0.000 0.000 0.000 Tb
0.750 0.750 0.750 Mg
0.500 0.500 0.500 Zr
0.250 0.250 0.250 Re

MgRe2Tc (PBE, optimized geometry); symmetry = R-3m
1.0
1.392 0.804 9.249
-1.392 0.804 9.249
0.000 -1.607 9.249
Mg Re Tc
1 2 1
Direct
0.000 0.000 0.000 Mg
0.246 0.246 0.246 Re
0.754 0.754 0.754 Re
0.500 0.500 0.500 Tc

MgRe2Tc (PBE, optimized geometry); symmetry = P4/mmm
1.0
2.777 0.000 0.000
0.000 2.777 0.000
0.000 0.000 8.097
Mg Re Tc
1 2 1
Direct
0.000 0.000 0.000 Mg
0.500 0.500 0.268 Re
0.500 0.500 0.732 Re
0.000 0.000 0.500 Tc

Formation energy from the elements, respectively: 0.06, 0.03, 0.18, 0.25 eV/atom.